Arrangement w

Entry from Alexandria via LeMat-Bulk: a relaxed structure of CaMg2Hg7 (PBE).

```
data_CaMg2Hg7
_cell_length_a 8.2825
_cell_length_b 15.4725
_cell_length_c 4.6842
_cell_angle_alpha 90.00
_cell_angle_beta 90.00
_cell_angle_gamma 90.00
_symmetry_space_group_name_H-M 'C m m m'
_symmetry_Int_Tables_number 65
_symmetry_space_group_name_Hall '-C 2 2'
loop_
_atom_site_label
_atom_site_type_symbol
_atom_site_fract_x
_atom_site_fract_y
_atom_site_fract_z
Ca1 Ca 0.0000 0.0000 0.0000
Mg1 Mg 0.0000 0.3115 0.5000
Hg1 Hg 0.0000 0.2135 0.0000
Hg2 Hg 0.0000 0.5000 0.5000
Hg3 Hg 0.1875 0.1162 0.5000
```

=====

Arrangement x

Entry from Alexandria via LeMat-Bulk: a relaxed structure of CaMg2Hg7 (PBE).

```
data_CaMg2Hg7
_cell_length_a 4.9606
_cell_length_b 4.9606
_cell_length_c 11.7467
_cell_angle_alpha 90.00
_cell_angle_beta 90.00
_cell_angle_gamma 120.00
_symmetry_space_group_name_H-M 'P 3 m 1'
_symmetry_Int_Tables_number 156
loop_
_symmetry_equiv_pos_as_xyz
'x,y,z'
'-y,x-y,z'
'-x+y,-x,z'
'-y,-x,z'
'-x+y,y,z'
'x,x-y,z'
loop_
_atom_site_label
_atom_site_type_symbol
_atom_site_fract_x
_atom_site_fract_y
_atom_site_fract_z
Ca1 Ca 0.0000 0.0000 0.0000
Mg1 Mg 0.3333 0.6667 0.6414
Mg2 Mg 0.6667 0.3333 0.4890
Hg1 Hg 0.0000 0.0000 0.3033
Hg2 Hg 0.0000 0.0000 0.6070
Hg3 Hg 0.3333 0.6667 0.1281
Hg4 Hg 0.3333 0.6667 0.4019
Hg5 Hg 0.3333 0.6667 0.8747
Hg6 Hg 0.6667 0.3333 0.1780
Hg7 Hg 0.6667 0.3333 0.7754
```

=====

Short version: arrangement x is the most stable of them.

=====

Arrangement w

Entry from Alexandria via LeMat-Bulk: a relaxed structure of CaMg6Hg12 (PBE).

```
data_CaMg6Hg12
_cell_length_a 13.2911
_cell_length_b 13.2911
_cell_length_c 9.2880
_cell_angle_alpha 90.00
_cell_angle_beta 90.00
_cell_angle_gamma 120.00
_symmetry_space_group_name_H-M 'R -3 m'
_symmetry_Int_Tables_number 166
_symmetry_space_group_name_Hall '-R 3 2"'
loop_
_atom_site_label
_atom_site_type_symbol
_atom_site_fract_x
_atom_site_fract_y
_atom_site_fract_z
Ca1 Ca 0.0000 0.0000 0.0000
Mg1 Mg 0.0590 0.5295 0.2344
Hg1 Hg 0.0000 0.3857 0.5000
Hg2 Hg 0.0808 0.1617 0.2886
```

=====

Arrangement x

Entry from Alexandria via LeMat-Bulk: a relaxed structure of CaMg6Hg12 (PBE).

```
data_CaMg6Hg12
_cell_length_a 13.6861
_cell_length_b 13.6861
_cell_length_c 8.1519
_cell_angle_alpha 90.00
_cell_angle_beta 90.00
_cell_angle_gamma 120.00
_symmetry_space_group_name_H-M 'R -3'
_symmetry_Int_Tables_number 148
_symmetry_space_group_name_Hall '-R 3'
loop_
_atom_site_label
_atom_site_type_symbol
_atom_site_fract_x
_atom_site_fract_y
_atom_site_fract_z
Ca1 Ca 0.0000 0.0000 0.0000
Mg1 Mg 0.0207 0.7586 0.3102
Hg1 Hg 0.0045 0.8640 0.6594
Hg2 Hg 0.0613 0.4904 0.6878
```

=====

Short version: arrangement x is the most stable of them.

=====

Arrangement w

Entry from Alexandria via LeMat-Bulk: a relaxed structure of CaPrMgHg (PBE).

```
data_CaPrMgHg
_cell_length_a 3.9000
_cell_length_b 3.9000
_cell_length_c 7.6803
_cell_angle_alpha 90.00
_cell_angle_beta 90.00
_cell_angle_gamma 90.00
_symmetry_space_group_name_H-M 'P 4 m m'
_symmetry_Int_Tables_number 99
loop_
_symmetry_equiv_pos_as_xyz
'x,y,z'
'-y,x,z'
'-x,-y,z'
'y,-x,z'
'-x,y,z'
'y,x,z'
'x,-y,z'
'-y,-x,z'
loop_
_atom_site_label
_atom_site_type_symbol
_atom_site_fract_x
_atom_site_fract_y
_atom_site_fract_z
Ca1 Ca 0.0000 0.0000 0.0000
Pr1 Pr 0.0000 0.0000 0.4816
Mg1 Mg 0.5000 0.5000 0.7392
Hg1 Hg 0.5000 0.5000 0.2407
```

=====

Arrangement x

Entry from Alexandria via LeMat-Bulk: a relaxed structure of CaPrMgHg (PBE).

```
data_CaPrMgHg
_cell_length_a 7.7272
_cell_length_b 7.7272
_cell_length_c 7.7272
_cell_angle_alpha 90.00
_cell_angle_beta 90.00
_cell_angle_gamma 90.00
_symmetry_space_group_name_H-M 'F -4 3 m'
_symmetry_Int_Tables_number 216
_symmetry_space_group_name_Hall 'F -4 2 3'
loop_
_atom_site_label
_atom_site_type_symbol
_atom_site_fract_x
_atom_site_fract_y
_atom_site_fract_z
Ca1 Ca 0.0000 0.0000 0.0000
Pr1 Pr 0.0000 0.0000 0.5000
Mg1 Mg 0.2500 0.2500 0.2500
Hg1 Hg 0.2500 0.2500 0.7500
```

=====

Short version: arrangement x is the most stable of them.

=====

Arrangement w

Entry from Alexandria via LeMat-Bulk: a relaxed structure of CaTmMgHg (PBE).

```
data_CaTmMgHg
_cell_length_a 3.7943
_cell_length_b 3.7943
_cell_length_c 7.5474
_cell_angle_alpha 90.00
_cell_angle_beta 90.00
_cell_angle_gamma 90.00
_symmetry_space_group_name_H-M 'P 4 m m'
_symmetry_Int_Tables_number 99
loop_
_symmetry_equiv_pos_as_xyz
'x,y,z'
'-y,x,z'
'-x,-y,z'
'y,-x,z'
'-x,y,z'
'y,x,z'
'x,-y,z'
'-y,-x,z'
loop_
_atom_site_label
_atom_site_type_symbol
_atom_site_fract_x
_atom_site_fract_y
_atom_site_fract_z
Ca1 Ca 0.0000 0.0000 0.0000
Tm1 Tm 0.0000 0.0000 0.4752
Mg1 Mg 0.5000 0.5000 0.7243
Hg1 Hg 0.5000 0.5000 0.2597
```

=====

Arrangement x

Entry from Alexandria via LeMat-Bulk: a relaxed structure of CaTmMgHg (PBE).

```
data_CaTmMgHg
_cell_length_a 7.5220
_cell_length_b 7.5220
_cell_length_c 7.5220
_cell_angle_alpha 90.00
_cell_angle_beta 90.00
_cell_angle_gamma 90.00
_symmetry_space_group_name_H-M 'F -4 3 m'
_symmetry_Int_Tables_number 216
_symmetry_space_group_name_Hall 'F -4 2 3'
loop_
_atom_site_label
_atom_site_type_symbol
_atom_site_fract_x
_atom_site_fract_y
_atom_site_fract_z
Ca1 Ca 0.0000 0.0000 0.0000
Tm1 Tm 0.0000 0.0000 0.5000
Mg1 Mg 0.2500 0.2500 0.7500
Hg1 Hg 0.2500 0.2500 0.2500
```

=====

Short version: arrangement w is the most stable of them.

=====

Arrangement w

Entry from Alexandria via LeMat-Bulk: a relaxed structure of CaHgMo3 (PBE).

```
data_CaHgMo3
_cell_length_a 5.0397
_cell_length_b 5.0397
_cell_length_c 5.0397
_cell_angle_alpha 90.00
_cell_angle_beta 90.00
_cell_angle_gamma 90.00
_symmetry_space_group_name_H-M 'P m -3 m'
_symmetry_Int_Tables_number 221
_symmetry_space_group_name_Hall '-P 4 2 3'
loop_
_atom_site_label
_atom_site_type_symbol
_atom_site_fract_x
_atom_site_fract_y
_atom_site_fract_z
Ca1 Ca 0.0000 0.0000 0.0000
Hg1 Hg 0.5000 0.5000 0.5000
Mo1 Mo 0.0000 0.5000 0.5000
```

=====

Arrangement x

Entry from Alexandria via LeMat-Bulk: a relaxed structure of CaHgMo3 (PBE).

```
data_CaHgMo3
_cell_length_a 4.6603
_cell_length_b 4.6603
_cell_length_c 4.6603
_cell_angle_alpha 90.00
_cell_angle_beta 90.00
_cell_angle_gamma 90.00
_symmetry_space_group_name_H-M 'P m -3 m'
_symmetry_Int_Tables_number 221
_symmetry_space_group_name_Hall '-P 4 2 3'
loop_
_atom_site_label
_atom_site_type_symbol
_atom_site_fract_x
_atom_site_fract_y
_atom_site_fract_z
Ca1 Ca 0.0000 0.0000 0.0000
Hg1 Hg 0.5000 0.5000 0.5000
Mo1 Mo 0.0000 0.0000 0.5000
```

=====

Short version: arrangement w is the most stable of them.

=====

Arrangement w

Entry from Alexandria via LeMat-Bulk: a relaxed structure of Ca2HgN (PBE).

```
data_Ca2HgN
_cell_length_a 3.5877
_cell_length_b 3.5877
_cell_length_c 24.6043
_cell_angle_alpha 90.00
_cell_angle_beta 90.00
_cell_angle_gamma 120.00
_symmetry_space_group_name_H-M 'R 3 m'
_symmetry_Int_Tables_number 160
_symmetry_space_group_name_Hall 'R 3 -2"'
loop_
_atom_site_label
_atom_site_type_symbol
_atom_site_fract_x
_atom_site_fract_y
_atom_site_fract_z
Ca1 Ca 0.0000 0.0000 0.0000
Ca2 Ca 0.0000 0.0000 0.2310
Hg1 Hg 0.0000 0.0000 0.4482
N1 N 0.0000 0.0000 0.6151
```

=====

Arrangement x

Entry from Alexandria via LeMat-Bulk: a relaxed structure of Ca2HgN (PBE).

```
data_Ca2HgN
_cell_length_a 7.0170
_cell_length_b 7.0170
_cell_length_c 7.0170
_cell_angle_alpha 90.00
_cell_angle_beta 90.00
_cell_angle_gamma 90.00
_symmetry_space_group_name_H-M 'F m -3 m'
_symmetry_Int_Tables_number 225
_symmetry_space_group_name_Hall '-F 4 2 3'
loop_
_atom_site_label
_atom_site_type_symbol
_atom_site_fract_x
_atom_site_fract_y
_atom_site_fract_z
Ca1 Ca 0.2500 0.2500 0.2500
Hg1 Hg 0.0000 0.0000 0.0000
N1 N 0.0000 0.0000 0.5000
```

=====

Arrangement y

Entry from Alexandria via LeMat-Bulk: a relaxed structure of Ca2HgN (PBE).

```
data_Ca2HgN
_cell_length_a 7.1641
_cell_length_b 7.1641
_cell_length_c 7.9942
_cell_angle_alpha 90.00
_cell_angle_beta 90.00
_cell_angle_gamma 90.00
_symmetry_space_group_name_H-M 'I -4 2 d'
_symmetry_Int_Tables_number 122
_symmetry_space_group_name_Hall 'I -4 2bw'
loop_
_atom_site_label
_atom_site_type_symbol
_atom_site_fract_x
_atom_site_fract_y
_atom_site_fract_z
Ca1 Ca 0.1385 0.2500 0.1250
Hg1 Hg 0.0000 0.0000 0.5000
N1 N 0.0000 0.0000 0.0000
```

=====

Arrangement z

Entry from Alexandria via LeMat-Bulk: a relaxed structure of Ca2HgN (PBE).

```
data_Ca2HgN
_cell_length_a 3.1632
_cell_length_b 3.1632
_cell_length_c 7.8780
_cell_angle_alpha 90.00
_cell_angle_beta 90.00
_cell_angle_gamma 90.00
_symmetry_space_group_name_H-M 'P 4/m m m'
_symmetry_Int_Tables_number 123
_symmetry_space_group_name_Hall '-P 4 2'
loop_
_atom_site_label
_atom_site_type_symbol
_atom_site_fract_x
_atom_site_fract_y
_atom_site_fract_z
Ca1 Ca 0.0000 0.0000 0.1657
Hg1 Hg 0.5000 0.5000 0.5000
N1 N 0.5000 0.5000 0.0000
```

=====

Short version: arrangement w is the most stable of them.